Entry from Alexandria via LeMat-Bulk: TbHoTm4 after structural relaxation (PBE).

Mass density in g cm⁻³: 8.86
Energy of formation from the pure elements in eV per atom: 0.155
Energy above the lowest structure with this stoichiometry in meV per atom: 73.5

abc: 8.6875 14.4355 6.3540
angles: 90.00 109.89 90.00
With the nearest neighbours (Å) after each atom.
Space group C2/c (No. 15)
One atom of each set of equivalent atoms:
Tb 0.0000 0.0862 0.2500  10 Tm 3.46-3.84
Ho 0.0000 0.4993 0.7500  2 Ho 3.18, 8 Tm 3.31-3.50
Tm 0.0941 0.3046 0.5340  5 Tm 3.26-3.64, 2 Ho 3.31-3.35, 1 Tb 3.59
Tm 0.2044 0.1302 0.8792  3 Tm 3.26-3.37, 2 Ho 3.40-3.50, 2 Tb 3.46-3.55

Entry from Alexandria via LeMat-Bulk: Tb7Ho3Tm after structural relaxation (PBE).

Mass density in g cm⁻³: 8.26
Energy of formation from the pure elements in eV per atom: 0.268
Energy above the lowest structure with this stoichiometry in meV per atom: 128.3

abc: 12.5375 11.1019 5.7744
angles: 90.00 117.36 90.00
With the nearest neighbours (Å) after each atom.
Space group C2/m (No. 12)
One atom of each set of equivalent atoms:
Tb 0.0000 0.0000 0.0000  2 Tm 2.89
Tb 0.1950 0.2934 0.6947  2 Ho 3.16-3.53, 3 Tb 3.28-3.43
Tb 0.2089 0.5000 0.2072  1 Tm 3.24, 2 Ho 3.26, 2 Tb 3.43
Ho 0.0000 0.2937 0.0000  9 Tb 3.26-3.61
Ho 0.0000 0.5000 0.5000  4 Tb 3.16
Tm 0.0000 0.0000 0.5000  2 Tb 2.89

Entry from Alexandria via LeMat-Bulk: Tb5HoTm6 after structural relaxation (PBE).

Mass density in g cm⁻³: 8.92
Energy of formation from the pure elements in eV per atom: 0.021
Energy above the lowest structure with this stoichiometry in meV per atom: 0.0

abc: 6.0933 10.5417 11.6141
angles: 90.00 100.02 90.00
With the nearest neighbours (Å) after each atom.
Space group C2/m (No. 12)
One atom of each set of equivalent atoms:
Tb 0.0000 0.0000 0.0000  6 Tm 3.51, 6 Tb 3.52
Tb 0.0000 0.1667 0.5000  6 Tm 3.50, 3 Ho 3.51-3.52, 3 Tb 3.52
Tb 0.0000 0.3335 0.0000  6 Tm 3.51, 6 Tb 3.51-3.52
Ho 0.0000 0.5000 0.5000  6 Tm 3.50, 6 Tb 3.51-3.52
Tm 0.2499 0.0000 0.7497  1 Ho 3.50, 5 Tb 3.50-3.51, 6 Tm 3.51-3.52
Tm 0.2504 0.1666 0.2502  1 Ho 3.50, 5 Tb 3.50-3.51, 6 Tm 3.51-3.52

Entry from Alexandria via LeMat-Bulk: Tb2Ho4Tm after structural relaxation (PBE).

Mass density in g cm⁻³: 8.78
Energy of formation from the pure elements in eV per atom: 0.004
Energy above the lowest structure with this stoichiometry in meV per atom: 0.0

abc: 6.1498 3.5515 19.8485
angles: 90.00 90.02 90.00
With the nearest neighbours (Å) after each atom.
Space group Cm (No. 8)
One atom of each set of equivalent atoms:
Tb 0.0000 0.0000 0.0000  6 Ho 3.50-3.53, 6 Tb 3.55
Tb 0.0009 0.0000 0.2864  6 Ho 3.51, 6 Tb 3.55
Ho 0.1684 0.5000 0.4301  3 Tm 3.46, 3 Tb 3.51, 6 Ho 3.55
Ho 0.1682 0.5000 0.7121  3 Tm 3.48, 9 Ho 3.51-3.55
Ho 0.3335 0.0000 0.1430  6 Tb 3.50-3.51, 6 Ho 3.55
Ho 0.3339 0.0000 0.8557  9 Ho 3.51-3.55, 3 Tb 3.52-3.53
Tm 0.0020 0.0000 0.5705  6 Ho 3.46-3.48, 6 Tm 3.55

Entry from Alexandria via LeMat-Bulk: Tb5Ho2Tm after structural relaxation (PBE).

Mass density in g cm⁻³: 8.60
Energy of formation from the pure elements in eV per atom: 0.015
Energy above the lowest structure with this stoichiometry in meV per atom: 0.0

abc: 7.0739 14.1502 4.9920
angles: 90.00 90.00 90.00
With the nearest neighbours (Å) after each atom.
Space group Pbam (No. 55)
One atom of each set of equivalent atoms:
Tb 0.0000 0.0000 0.0000  4 Ho 3.53, 6 Tb 3.53-3.54, 2 Tm 3.54
Tb 0.0002 0.2504 0.0000  1 Tm 3.53, 7 Tb 3.53-3.54, 4 Ho 3.53-3.54
Tb 0.2504 0.1247 0.5000  4 Ho 3.53-3.55, 2 Tm 3.53, 6 Tb 3.53-3.54
Ho 0.2501 0.3755 0.5000  10 Tb 3.53-3.55, 2 Tm 3.53
Tm 0.0000 0.5000 0.0000  8 Tb 3.53-3.54, 4 Ho 3.53

Entry from Alexandria via LeMat-Bulk: TbHo4Tm after structural relaxation (PBE).

Mass density in g cm⁻³: 8.91
Energy of formation from the pure elements in eV per atom: 0.003
Energy above the lowest structure with this stoichiometry in meV per atom: 0.0

abc: 3.5284 18.3298 11.3897
angles: 90.00 90.00 90.00
With the nearest neighbours (Å) after each atom.
Space group Cmc2_1 (No. 36)
One atom of each set of equivalent atoms:
Tb 0.0000 0.1668 0.0000  3 Tm 3.49-3.50, 7 Ho 3.50-3.54, 2 Tb 3.53
Ho 0.0000 0.0557 0.2497  9 Ho 3.49-3.54, 1 Tb 3.50, 2 Tm 3.53
Ho 0.0000 0.1669 0.4987  7 Ho 3.49-3.53, 3 Tm 3.49-3.50, 2 Tb 3.52
Ho 0.0000 0.3886 0.2495  8 Ho 3.50-3.54, 2 Tb 3.50, 2 Tm 3.52
Ho 0.0000 0.4996 0.9997  10 Ho 3.50-3.53, 2 Tb 3.54
Tm 0.0000 0.2777 0.7494  7 Ho 3.49-3.53, 3 Tb 3.49-3.50, 2 Tm 3.53

Entry from Alexandria via LeMat-Bulk: Tb8HoTm6 after structural relaxation (PBE).

Mass density in g cm⁻³: 8.60
Energy of formation from the pure elements in eV per atom: 0.172
Energy above the lowest structure with this stoichiometry in meV per atom: 39.2

abc: 9.7346 9.7346 5.7665
angles: 90.00 90.00 120.00
With the nearest neighbours (Å) after each atom.
Space group P-3 (No. 147)
One atom of each set of equivalent atoms:
Tb 0.0908 0.6256 0.2680  5 Tm 3.28-3.67, 4 Tb 3.46-3.67
Tb 0.3333 0.6667 0.7781  3 Tm 3.42, 9 Tb 3.57-3.67
Ho 0.0000 0.0000 0.5000  6 Tm 2.94
Tm 0.0493 0.7760 0.7810  1 Ho 2.94, 1 Tb 3.28

Entry from Alexandria via LeMat-Bulk: Tb5HoTm2 after structural relaxation (PBE).

Mass density in g cm⁻³: 8.55
Energy of formation from the pure elements in eV per atom: 0.152
Energy above the lowest structure with this stoichiometry in meV per atom: 135.9

abc: 6.5797 8.8480 9.3666
angles: 87.78 83.70 68.34
With the nearest neighbours (Å) after each atom.
Space group P-1 (No. 2)
One atom of each set of equivalent atoms:
Tb 0.0477 0.2370 0.1095  3 Tb 3.19-3.23, 4 Tm 3.39-3.48, 1 Ho 3.41
Tb 0.2162 0.4984 0.4150  4 Tb 3.09-3.24, 1 Tm 3.35, 1 Ho 3.43
Tb 0.2831 0.7628 0.6084  3 Tb 3.20-3.24, 4 Tm 3.39-3.48, 1 Ho 3.41
Tb 0.2836 0.5008 0.0835  4 Tb 3.09-3.23, 1 Tm 3.36, 1 Ho 3.42
Tb 0.3484 0.3068 0.7498  6 Tb 3.53-3.93, 2 Ho 3.60, 4 Tm 3.79-3.87
Ho 0.0632 0.8714 0.2498  8 Tb 3.41-3.75, 4 Tm 3.42-3.59
Tm 0.2787 0.1047 0.4190  2 Tm 3.31-3.67, 5 Tb 3.35-3.48, 2 Ho 3.42-3.59
Tm 0.3838 0.8935 0.9190  2 Tm 3.32-3.67, 5 Tb 3.36-3.48, 2 Ho 3.43-3.59

Entry from Alexandria via LeMat-Bulk: Tb12Ho6Tm after structural relaxation (PBE).

Mass density in g cm⁻³: 8.33
Energy of formation from the pure elements in eV per atom: 0.153
Energy above the lowest structure with this stoichiometry in meV per atom: 0.0

abc: 11.8511 11.8511 15.0755
angles: 90.00 90.00 120.00
With the nearest neighbours (Å) after each atom.
Space group R-3 (No. 148, hexagonal axes)
One atom of each set of equivalent atoms:
Tb 0.0103 0.1778 0.1907  4 Tb 3.41-3.55, 4 Ho 3.49-3.66, 1 Tm 3.53
Tb 0.0429 0.1923 0.4160  3 Ho 3.27-3.43, 6 Tb 3.27-3.59
Ho 0.0122 0.5882 0.6827  6 Tb 3.27-3.57, 1 Tm 3.44, 2 Ho 3.47
Tm 0.0000 0.0000 0.0000  6 Ho 3.44, 6 Tb 3.53

Entry from Alexandria via LeMat-Bulk: Tb4Ho9Tm11 after structural relaxation (PBE).

Mass density in g cm⁻³: 8.99
Energy of formation from the pure elements in eV per atom: 0.058

abc: 20.1952 20.8678 3.4877
angles: 90.00 90.00 90.00
With the nearest neighbours (Å) after each atom.
Space group Cmmm (No. 65)
One atom of each set of equivalent atoms:
Tb 0.1364 0.0852 0.0000  2 Ho 3.28-3.38, 6 Tm 3.41-3.59, 3 Tb 3.49-3.55
Ho 0.0000 0.0000 0.0000  4 Tb 3.28, 2 Ho 3.49
Ho 0.1214 0.4150 0.0000  8 Tm 3.48-3.53, 4 Ho 3.49-3.55
Ho 0.1234 0.2466 0.0000  1 Tb 3.38, 3 Ho 3.49-3.51, 8 Tm 3.51-3.57
Tm 0.0000 0.1568 0.5000  3 Tm 3.49-3.62, 6 Ho 3.57-3.71, 4 Tb 3.59
Tm 0.0000 0.3300 0.5000  4 Tm 3.49-3.62, 8 Ho 3.49-3.51
Tm 0.0000 0.5000 0.5000  4 Tm 3.49-3.55, 8 Ho 3.49
Tm 0.2419 0.5000 0.5000  4 Ho 3.48, 4 Tm 3.49-3.51, 4 Tb 3.50
Tm 0.2465 0.3317 0.5000  2 Tb 3.41, 4 Tm 3.41-3.51, 6 Ho 3.52-3.55

Entry from Alexandria via LeMat-Bulk: Tb7Ho12Tm after structural relaxation (PBE).

Mass density in g cm⁻³: 8.55
Energy of formation from the pure elements in eV per atom: 0.296

abc: 12.7105 12.7105 13.5748
angles: 90.00 90.00 120.00
With the nearest neighbours (Å) after each atom.
Space group R-3 (No. 148, hexagonal axes)
One atom of each set of equivalent atoms:
Tb 0.0000 0.0000 0.0000  6 Ho 3.04
Tb 0.0683 0.2000 0.3466  2 Ho 3.05-3.32, 1 Tm 3.06, 1 Tb 3.06
Ho 0.0007 0.4362 0.2493  3 Tb 3.32-3.55, 3 Ho 3.33-3.54
Ho 0.0682 0.8675 0.8490  2 Tb 3.04-3.05, 2 Ho 3.06-3.33
Tm 0.0000 0.0000 0.5000  6 Tb 3.06

Entry from Alexandria via LeMat-Bulk: Tb6HoTm3 after structural relaxation (PBE).

Mass density in g cm⁻³: 8.56
Energy of formation from the pure elements in eV per atom: 0.127
Energy above the lowest structure with this stoichiometry in meV per atom: 0.0

abc: 9.6032 20.7896 6.3198
angles: 90.00 90.00 90.00
With the nearest neighbours (Å) after each atom.
Space group Cmc2_1 (No. 36)
One atom of each set of equivalent atoms:
Tb 0.0000 0.0157 0.0000  4 Tb 3.23-3.56, 1 Ho 3.25, 4 Tm 3.49-3.52
Tb 0.0000 0.3004 0.0331  1 Tm 3.13, 1 Ho 3.25, 2 Tb 3.39
Tb 0.1762 0.2807 0.4938  2 Tm 3.24-3.39, 3 Tb 3.39-3.55, 2 Ho 3.55-3.60
Tb 0.1809 0.4404 0.2505  3 Tm 3.32-3.51, 4 Tb 3.47-3.66
Ho 0.0000 0.1605 0.8041  6 Tb 3.25-3.60, 2 Tm 3.48
Tm 0.0000 0.4188 0.7273  3 Tb 3.13-3.41, 2 Tm 3.38
Tm 0.1687 0.1257 0.3300  2 Tm 3.24-3.38, 5 Tb 3.24-3.52, 1 Ho 3.48